P:
Below is a relaxed structure of Be3AlTl, with properties calculated at the PBE level.

Unit cell a=4.582 b=4.582 c=4.582 alpha=90.00 beta=90.00 gamma=90.00
Fractional positions:
Be 0.000 0.000 0.500
Be 0.000 0.500 0.000
Be 0.500 0.000 0.000
Al 0.500 0.500 0.500
Tl 0.000 0.000 0.000

Summary:
Total magnetic moment (μB per atom): 0.000

Q:
Below is a relaxed structure of Be3AlTl, with properties calculated at the PBE level.

Unit cell a=4.503 b=4.503 c=4.503 alpha=90.00 beta=90.00 gamma=90.00
Fractional positions:
Be 0.000 0.000 0.500
Be 0.000 0.500 0.000
Be 0.500 0.000 0.000
Al 0.000 0.000 0.000
Tl 0.500 0.500 0.500

Summary:
Total magnetic moment (μB per atom): 0.000

Relative energy of each structure, in meV per atom: P 278; Q 0.

P:
Below is a relaxed structure of BeAl3Tl, with properties calculated at the PBE level.

Unit cell a=4.596 b=4.596 c=4.596 alpha=90.00 beta=90.00 gamma=90.00
Fractional positions:
Be 0.000 0.000 0.000
Al 0.000 0.000 0.500
Al 0.000 0.500 0.000
Al 0.500 0.000 0.000
Tl 0.500 0.500 0.500

Summary:
Total magnetic moment (μB per atom): 0.000

Q:
Below is a relaxed structure of BeAl3Tl, with properties calculated at the PBE level.

Unit cell a=5.255 b=5.255 c=5.255 alpha=90.00 beta=90.00 gamma=90.00
Fractional positions:
Be 0.000 0.000 0.000
Al 0.000 0.500 0.500
Al 0.500 0.000 0.500
Al 0.500 0.500 0.000
Tl 0.500 0.500 0.500

Summary:
Total magnetic moment (μB per atom): 0.000

Relative energy of each structure, in meV per atom: P 0; Q 998.

P:
Below is a relaxed structure of BeAlV, with properties calculated at the PBE level.

Unit cell a=4.563 b=4.563 c=4.971 alpha=90.00 beta=90.00 gamma=134.36
Fractional positions:
Be 0.109 0.891 0.750
Be 0.891 0.109 0.250
Al 0.500 0.500 0.000
Al 0.500 0.500 0.500
V 0.205 0.795 0.250
V 0.795 0.205 0.750

Summary:
Total magnetic moment (μB per atom): 0.000

Q:
Below is a relaxed structure of BeAlV, with properties calculated at the PBE level.

Unit cell a=6.929 b=6.929 c=6.929 alpha=158.70 beta=158.70 gamma=30.30
Fractional positions:
Be 0.000 0.000 0.000
Al 0.822 0.822 0.000
V 0.175 0.175 0.000

Summary:
Total magnetic moment (μB per atom): 0.000

R:
Below is a relaxed structure of BeAlV, with properties calculated at the PBE level.

Unit cell a=3.975 b=3.975 c=2.736 alpha=90.00 beta=90.00 gamma=120.00
Fractional positions:
Be 0.000 0.000 0.000
Al 0.667 0.333 0.000
V 0.333 0.667 0.500

Summary:
Total magnetic moment (μB per atom): 0.183

Relative energy of each structure, in meV per atom: P 51; Q 618; R 0.

P:
Below is a relaxed structure of Be3AlW, with properties calculated at the PBE level.

Unit cell a=4.029 b=4.029 c=4.029 alpha=90.00 beta=90.00 gamma=90.00
Fractional positions:
Be 0.000 0.000 0.500
Be 0.000 0.500 0.000
Be 0.500 0.000 0.000
Al 0.000 0.000 0.000
W 0.500 0.500 0.500

Summary:
Total magnetic moment (μB per atom): 0.000

Q:
Below is a relaxed structure of Be3AlW, with properties calculated at the PBE level.

Unit cell a=4.316 b=4.316 c=4.316 alpha=90.00 beta=90.00 gamma=90.00
Fractional positions:
Be 0.000 0.000 0.500
Be 0.000 0.500 0.000
Be 0.500 0.000 0.000
Al 0.500 0.500 0.500
W 0.000 0.000 0.000

Summary:
Total magnetic moment (μB per atom): 0.000

Relative energy of each structure, in meV per atom: P 81; Q 0.

P:
Below is a relaxed structure of BeAl3W, with properties calculated at the PBE level.

Unit cell a=4.845 b=4.845 c=4.845 alpha=90.00 beta=90.00 gamma=90.00
Fractional positions:
Be 0.000 0.000 0.000
Al 0.000 0.500 0.500
Al 0.500 0.000 0.500
Al 0.500 0.500 0.000
W 0.500 0.500 0.500

Summary:
Total magnetic moment (μB per atom): 0.000

Q:
Below is a relaxed structure of BeAl3W, with properties calculated at the PBE level.

Unit cell a=4.244 b=4.244 c=4.244 alpha=90.00 beta=90.00 gamma=90.00
Fractional positions:
Be 0.000 0.000 0.000
Al 0.000 0.000 0.500
Al 0.000 0.500 0.000
Al 0.500 0.000 0.000
W 0.500 0.500 0.500

Summary:
Total magnetic moment (μB per atom): 0.044

Relative energy of each structure, in meV per atom: P 318; Q 0.

P:
Below is a relaxed structure of YBeAl, with properties calculated at the PBE level.

Unit cell a=4.510 b=4.510 c=4.510 alpha=60.00 beta=60.00 gamma=60.00
Fractional positions:
Y 0.000 0.000 0.000
Be 0.500 0.500 0.500
Al 0.250 0.250 0.250

Summary:
Total magnetic moment (μB per atom): 0.000

Q:
Below is a relaxed structure of YBeAl, with properties calculated at the PBE level.

Unit cell a=4.371 b=4.371 c=4.371 alpha=60.00 beta=60.00 gamma=60.00
Fractional positions:
Y 0.000 0.000 0.000
Be 0.250 0.250 0.250
Al 0.500 0.500 0.500

Summary:
Total magnetic moment (μB per atom): 0.000

R:
Below is a relaxed structure of YBeAl, with properties calculated at the PBE level.

Unit cell a=4.649 b=4.649 c=4.649 alpha=60.00 beta=60.00 gamma=60.00
Fractional positions:
Y 0.000 0.000 0.000
Be 0.250 0.250 0.250
Al 0.750 0.750 0.750

Summary:
Total magnetic moment (μB per atom): 0.000

Relative energy of each structure, in meV per atom: P 385; Q 0; R 864.